Pm2FeIrO8 | the Alexandria database | GGA+U | relaxed; Fermi-level density of states = 4.67 states/eV/cell; raw total energy = -85.35 eV per cell; crystal system = triclinic; symmetry = No. 2; size of the total moment = 4.087 μB per formula unit
1.0
5.339 -0.282 0.324
-0.236 4.179 -0.127
0.396 -0.166 6.881
O Pm Fe Ir
8 2 1 1
Direct
0.677 0.784 0.551
0.237 0.778 0.832
0.763 0.222 0.168
0.323 0.216 0.449
0.053 0.787 0.242
0.947 0.213 0.758
0.724 0.694 0.955
0.276 0.306 0.045
0.483 0.683 0.263
0.517 0.317 0.737
0.000 0.000 0.500
0.000 0.000 0.000